# 1
Below is crystalline ReAg3Br8 at its relaxed geometry, with properties calculated at the PBE level.

Crystal system: orthorhombic
Total DFT energy (no corrections), Ry per atom: -0.2310
ΔE_f (raw), meV per atom: -278
DOS(E_F), states/eV per atom: 0.43
Total moment, μB/f.u.: 2.04

Cell: 7.6287 11.8024 8.3703 Å, 90.00 90.00 90.00°
Last column: nearest neighbours and their distance in Å.
Space group C222 (No. 21)
Unique sites:
Re 0.0000 0.0000 0.0000 (multiplicity 2)  6 Br 2.51-2.53
Ag 0.0000 0.0000 0.5000 (multiplicity 2)  2 Br 2.59
Ag 0.2500 0.2500 0.2641 (multiplicity 4)  6 Br 2.77-2.95
Br 0.0000 0.2142 0.0000 (multiplicity 4)  1 Re 2.53
Br 0.0000 0.2197 0.5000 (multiplicity 4)  3 Ag 2.59-2.77
Br 0.2337 0.0039 0.2112 (multiplicity 8)  1 Re 2.51

***

# 2
Below is crystalline La3NdY2Tm6 at its relaxed geometry, with properties calculated at the PBE level.

Crystal system: monoclinic
Total DFT energy (no corrections), Ry per atom: -0.3614
DOS(E_F), states/eV per atom: 1.29
DFT formation energy, kJ per mole of atoms: 2.39
Total moment, μB/f.u.: 0.00

Cell: 6.2184 10.7667 11.7776 Å, 90.00 100.12 90.00°
Last column: nearest neighbours and their distance in Å.
Space group C2/m (No. 12)
Unique sites:
La 0.0000 0.0000 0.0000 (multiplicity 2)  6 La 3.59, 6 Tm 3.60
La 0.0000 0.3334 0.0000 (multiplicity 4)  6 La 3.59, 6 Tm 3.60
Nd 0.0000 0.5000 0.5000 (multiplicity 2)  6 Tm 3.53, 6 Y 3.59
Y 0.0000 0.1668 0.5000 (multiplicity 4)  6 Tm 3.53, 3 Nd 3.59, 3 Y 3.59
Tm 0.2484 0.3334 0.7464 (multiplicity 8)  1 Nd 3.53, 2 Y 3.53, 6 Tm 3.59, 3 La 3.60
Tm 0.2487 0.0000 0.7465 (multiplicity 4)  1 Nd 3.53, 2 Y 3.53, 6 Tm 3.59, 3 La 3.60

***

# 3
Below is crystalline TaBe4Br at its relaxed geometry, with properties calculated at the PBE level.

Crystal system: cubic
Total DFT energy (no corrections), Ry per atom: -0.3096
ΔE_f (raw), meV per atom: 526
DOS(E_F), states/eV per atom: 0.91
Total moment, μB/f.u.: 0.00

Cell: 6.5942 6.5942 6.5942 Å, 90.00 90.00 90.00°
Last column: nearest neighbours and their distance in Å.
Space group F-43m (No. 216)
Unique sites:
Ta 0.0000 0.0000 0.0000 (multiplicity 4)  12 Be 2.72, 4 Br 2.86
Be 0.1326 0.1326 0.6326 (multiplicity 16)  3 Be 2.19
Br 0.2500 0.2500 0.2500 (multiplicity 4)  12 Be 2.75, 4 Ta 2.86

***

# 4
Below is crystalline Ce2HgCl8 at its relaxed geometry, with properties calculated at the PBE level.

Crystal system: monoclinic
Total DFT energy (no corrections), Ry per atom: -0.3080
ΔE_f (raw), meV per atom: -1741
DOS(E_F), states/eV per atom: 0.94
Total moment, μB/f.u.: 2.00

Cell: 7.5767 12.5740 9.7271 Å, 90.00 101.80 90.00°
Last column: nearest neighbours and their distance in Å.
Space group C2/m (No. 12)
Unique sites:
Ce 0.0000 0.1708 0.0000 (multiplicity 4)  6 Cl 2.76-2.79
Hg 0.0000 0.5000 0.5000 (multiplicity 2)  2 Cl 2.29
Cl 0.0000 0.3182 0.5000 (multiplicity 4)  1 Hg 2.29
Cl 0.1516 0.0000 0.1662 (multiplicity 4)  2 Ce 2.79
Cl 0.2260 0.3212 0.1508 (multiplicity 8)  2 Ce 2.76-2.78

***

# 5
Below is crystalline P4OsRh at its relaxed geometry, with properties calculated at the PBE level.

Crystal system: cubic
Total DFT energy (no corrections), Ry per atom: -0.4290
DOS(E_F), states/eV per atom: 0.64
DFT formation energy, kJ per mole of atoms: 83.65
Total moment, μB/f.u.: 0.00

Cell: 6.9116 6.9116 6.9116 Å, 90.00 90.00 90.00°
Last column: nearest neighbours and their distance in Å.
Space group F-43m (No. 216)
Unique sites:
P 0.1251 0.1251 0.1251 (multiplicity 16)  6 P 2.44-2.45
Os 0.0000 0.0000 0.5000 (multiplicity 4)  12 P 2.87, 4 Rh 2.99
Rh 0.2500 0.2500 0.7500 (multiplicity 4)  12 P 2.87, 4 Os 2.99

***

# 6
Below is crystalline TcAgHg2 at its relaxed geometry, with properties calculated at the PBE level.

Crystal system: tetragonal
Total DFT energy (no corrections), Ry per atom: -0.2083
Energy relative to the lowest polymorph listed for this composition, meV/atom: 189
DOS(E_F), states/eV per atom: 0.74
DFT formation energy, kJ per mole of atoms: 59.89
Total moment, μB/f.u.: 2.19

Cell: 4.2255 4.2255 8.5674 Å, 90.00 90.00 90.00°
Last column: nearest neighbours and their distance in Å.
Space group I-4m2 (No. 119)
Unique sites:
Tc 0.0000 0.0000 0.0000 (multiplicity 2)  8 Hg 2.99-3.01, 4 Ag 3.01
Ag 0.0000 0.5000 0.7500 (multiplicity 2)  8 Hg 2.99-3.01, 4 Tc 3.01
Hg 0.0000 0.0000 0.5000 (multiplicity 2)  4 Tc 2.99, 4 Hg 3.01, 4 Ag 3.01
Hg 0.0000 0.5000 0.2500 (multiplicity 2)  4 Ag 2.99, 4 Hg 3.01, 4 Tc 3.01

***

# 7
Below is crystalline Ni2WBr at its relaxed geometry, with properties calculated at the PBE level.

Crystal system: orthorhombic
Total DFT energy (no corrections), Ry per atom: -0.4218
Energy relative to the lowest polymorph listed for this composition, meV/atom: 455
ΔE_f (raw), meV per atom: 808
DOS(E_F), states/eV per atom: 0.96
Total moment, μB/f.u.: 0.00

Cell: 2.8646 4.5790 8.6940 Å, 90.00 90.00 90.00°
Last column: nearest neighbours and their distance in Å.
Space group Immm (No. 71)
Unique sites:
Ni 0.0000 0.0000 0.2441 (multiplicity 4)  2 Br 2.56, 2 W 2.65, 6 Ni 2.70-2.86
W 0.0000 0.5000 0.0000 (multiplicity 2)  4 Ni 2.65, 4 Br 2.70, 2 W 2.86
Br 0.0000 0.5000 0.5000 (multiplicity 2)  4 Ni 2.56, 4 W 2.70, 2 Br 2.86

***

# 8
Below is crystalline Pr3Er2Ag2 at its relaxed geometry, with properties calculated at the PBE level.

Crystal system: orthorhombic
Total DFT energy (no corrections), Ry per atom: -0.3033
DOS(E_F), states/eV per atom: 1.22
DFT formation energy, kJ per mole of atoms: 3.87
Total moment, μB/f.u.: 0.00

Cell: 4.9617 23.1988 3.5117 Å, 90.00 90.00 90.00°
Last column: nearest neighbours and their distance in Å.
Space group Cmmm (No. 65)
Unique sites:
Pr 0.0000 0.0000 0.0000 (multiplicity 2)  4 Pr 3.30-3.51, 8 Ag 3.46
Pr 0.0000 0.1424 0.0000 (multiplicity 4)  3 Pr 3.30-3.51, 4 Er 3.41, 4 Ag 3.45
Er 0.0000 0.2910 0.5000 (multiplicity 4)  2 Er 3.13, 1 Ag 3.19, 4 Pr 3.41
Ag 0.0000 0.4283 0.5000 (multiplicity 4)  1 Er 3.19, 3 Ag 3.33-3.51, 8 Pr 3.45-3.46